Here is a geometry-optimized Tb4InPd structure from Alexandria via LeMat-Bulk. Energies are from PBE-GGA.

The structure in POSCAR format:
```
Tb4InPd
1.0
-3.690 4.906 -0.288
-0.624 -4.397 7.962
6.929 3.478 -1.402
Tb In Pd
8 2 2
Direct
0.098 0.206 0.832 Tb
0.766 0.715 0.652 Tb
0.235 0.626 0.832 Tb
0.386 0.937 0.652 Tb
0.614 0.063 0.348 Tb
0.765 0.374 0.168 Tb
0.234 0.285 0.348 Tb
0.902 0.794 0.168 Tb
0.371 0.621 0.243 In
0.629 0.379 0.757 In
0.251 0.001 0.003 Pd
0.749 0.999 0.997 Pd
```

Calculated values
The theoretical density comes out at 8.43 Mg/m³. The calculated formation energy is -0.410 eV per atom. The relative energy among the computed polymorphs is 98.0 meV per atom.